## GaPdRu (PBE)

Data for GaPdRu after structural relaxation.

Density of states at the Fermi level in states/eV per atom: 0.675
SG: I4/mmm (139)
Total moment in Bohr magnetons per cell: 0.000
DFT total energy in eV per cell: -36.60

Structure (POSCAR):
```
GaPdRu
1.0
2.9059 0.0000 0.0000
0.0000 2.9059 0.0000
-1.4529 -1.4529 10.7609
Pd Ga Ru
2 2 2
Direct
0.5610 0.5610 0.1220 Pd
0.4390 0.4390 0.8780 Pd
0.1324 0.1324 0.2648 Ga
0.8676 0.8676 0.7352 Ga
0.2892 0.2892 0.5783 Ru
0.7108 0.7108 0.4217 Ru
```

***

## Ta5IrPt4 (PBE)

Data for Ta5IrPt4 after structural relaxation.

Density of states at the Fermi level in states/eV per atom: 0.426
SG: P4/mmm (123)
Total moment in Bohr magnetons per cell: 0.000
DFT total energy in eV per cell: -98.84

Structure (POSCAR):
```
Ta5IrPt4
1.0
-0.1452 2.8076 -0.3529
-2.0542 -0.3476 -1.9204
-14.0075 1.1329 14.7784
Ta Pt Ir
5 4 1
Direct
0.5000 0.5000 0.9042 Ta
0.5000 0.5000 0.2983 Ta
0.5000 0.5000 0.5000 Ta
0.5000 0.5000 0.7017 Ta
0.5000 0.5000 0.0958 Ta
0.0000 0.0000 0.8013 Pt
0.0000 0.0000 0.6006 Pt
0.0000 0.0000 0.1987 Pt
0.0000 0.0000 0.3994 Pt
0.0000 0.0000 0.0000 Ir
```

***

## VInGa2 (PBE)

Data for VInGa2 after structural relaxation.

Density of states at the Fermi level in states/eV per atom: 1.113
SG: I-42d (122)
Total moment in Bohr magnetons per cell: 3.600
DFT total energy in eV per cell: -32.80

Structure (POSCAR):
```
VInGa2
1.0
-3.0045 -0.3932 -6.8643
-6.8600 -0.3325 3.0216
-5.1052 2.4363 -2.0060
In Ga V
2 4 2
Direct
0.0000 0.0000 0.0000 In
0.7500 0.2500 0.5000 In
0.8750 0.8489 0.7500 Ga
0.1511 0.6250 0.2500 Ga
0.3750 0.4011 0.7500 Ga
0.5989 0.1250 0.2500 Ga
0.2500 0.7500 0.5000 V
0.5000 0.5000 0.0000 V
```

***

## Co3NiAg (PBE)

Data for Co3NiAg after structural relaxation.

Density of states at the Fermi level in states/eV per atom: 2.222
SG: Pm-3m (221)
Total moment in Bohr magnetons per cell: 6.558
DFT total energy in eV per cell: -20.05

Structure (POSCAR):
```
Co3NiAg
1.0
-4.2722 -1.3297 0.9984
-0.3936 -1.8657 -4.1691
1.6156 -3.9709 1.6245
Co Ni Ag
3 1 1
Direct
0.0000 0.0000 0.5000 Co
0.0000 0.5000 0.0000 Co
0.5000 0.0000 0.0000 Co
0.5000 0.5000 0.5000 Ni
0.0000 0.0000 0.0000 Ag
```

***

## Gd3Cd (PBE)

Data for Gd3Cd after structural relaxation.

Density of states at the Fermi level in states/eV per atom: 1.375
SG: Fm-3m (225)
Total moment in Bohr magnetons per cell: 7.515
Polymorph energy (0 for the lowest one) in kJ/mol of atoms: 9.6
DFT total energy in eV per cell: -43.29

Structure (POSCAR):
```
Gd3Cd
1.0
-0.3920 -4.0447 3.6842
2.6913 -4.7116 -0.8030
4.3084 -1.2686 3.1489
Gd Cd
3 1
Direct
0.0000 0.0000 0.0000 Gd
0.2500 0.2500 0.2500 Gd
0.7500 0.7500 0.7500 Gd
0.5000 0.5000 0.5000 Cd
```

***

## SiSbC (PBE)

Data for SiSbC after structural relaxation.

Density of states at the Fermi level in states/eV per atom: 0.126
SG: Immm (71)
Total moment in Bohr magnetons per cell: 0.000
E_form (uncorrected) in eV/atom: 0.28
Polymorph energy (0 for the lowest one) in kJ/mol of atoms: 21.6
DFT total energy in eV per cell: -71.66

Structure (POSCAR):
```
SiSbC
1.0
20.2027 0.0000 0.0000
0.0000 3.1614 0.0000
0.0000 0.0000 3.9976
Sb Si C
4 4 4
Direct
0.3303 0.0000 0.5000 Sb
0.8303 0.5000 0.0000 Sb
0.1697 0.5000 0.0000 Sb
0.6697 0.0000 0.5000 Sb
0.0848 0.5000 0.5000 Si
0.9152 0.5000 0.5000 Si
0.4152 0.0000 0.0000 Si
0.5848 0.0000 0.0000 Si
0.4660 0.5000 0.0000 C
0.9660 0.0000 0.5000 C
0.0340 0.0000 0.5000 C
0.5340 0.5000 0.0000 C
```

***

## Y3Al2Ni (PBE)

Data for Y3Al2Ni after structural relaxation.

Density of states at the Fermi level in states/eV per atom: 1.048
SG: Pnma (62)
Total moment in Bohr magnetons per cell: 0.000
Polymorph energy (0 for the lowest one) in kJ/mol of atoms: 0.0
DFT total energy in eV per cell: -140.36

Structure (POSCAR):
```
Y3Al2Ni
1.0
4.4076 0.0000 0.0000
0.0000 11.0442 0.0000
0.0000 0.0000 11.7144
Y Ni Al
12 4 8
Direct
0.2500 0.3735 0.0504 Y
0.7500 0.8735 0.4496 Y
0.7500 0.3122 0.7817 Y
0.2500 0.1265 0.5504 Y
0.2500 0.4317 0.3842 Y
0.2500 0.6878 0.2183 Y
0.2500 0.0683 0.8842 Y
0.7500 0.1878 0.2817 Y
0.2500 0.8122 0.7183 Y
0.7500 0.6265 0.9496 Y
0.7500 0.5683 0.6158 Y
0.7500 0.9317 0.1158 Y
0.7500 0.8792 0.8785 Ni
0.7500 0.6208 0.3785 Ni
0.2500 0.3792 0.6215 Ni
0.2500 0.1208 0.1215 Ni
0.7500 0.4871 0.2007 Al
0.7500 0.0129 0.7007 Al
0.7500 0.3101 0.5264 Al
0.7500 0.1899 0.0264 Al
0.2500 0.8101 0.9736 Al
0.2500 0.5129 0.7993 Al
0.2500 0.9871 0.2993 Al
0.2500 0.6899 0.4736 Al
```

***

## Ca2LaRh (PBE)

Data for Ca2LaRh after structural relaxation.

Density of states at the Fermi level in states/eV per atom: 1.032
SG: Cmmm (65)
Total moment in Bohr magnetons per cell: 0.000
Polymorph energy (0 for the lowest one) in kJ/mol of atoms: 24.7
DFT total energy in eV per cell: -16.90

Structure (POSCAR):
```
Ca2LaRh
1.0
-2.2244 2.6798 0.2774
-2.6806 -2.2398 -0.0633
0.3581 -0.7014 9.6467
Rh Ca La
1 2 1
Direct
0.5000 0.5000 0.7500 Rh
0.0000 0.0000 0.9216 Ca
0.0000 0.0000 0.5784 Ca
0.5000 0.5000 0.2500 La
```

***

## MnIn2Rh (PBE)

Data for MnIn2Rh after structural relaxation.

Density of states at the Fermi level in states/eV per atom: 0.525
SG: Imm2 (44)
Total moment in Bohr magnetons per cell: 3.992
DFT total energy in eV per cell: -22.20

Structure (POSCAR):
```
MnIn2Rh
1.0
-2.5214 -0.2294 -4.6369
-0.6628 -4.8698 -1.9381
-0.9925 2.6502 4.4611
Mn In Rh
1 2 1
Direct
0.4875 0.4875 0.0000 Mn
0.7442 0.2442 0.5000 In
0.0075 0.0075 0.0000 In
0.2609 0.7609 0.5000 Rh
```

***

## Tm5MgRh4 (PBE)

Data for Tm5MgRh4 after structural relaxation.

Density of states at the Fermi level in states/eV per atom: 0.676
SG: P4/mmm (123)
Total moment in Bohr magnetons per cell: 0.000
DFT total energy in eV per cell: -61.31

Structure (POSCAR):
```
Tm5MgRh4
1.0
3.4128 0.0000 0.0000
0.0000 3.4128 0.0000
0.0000 0.0000 17.7776
Rh Tm Mg
4 5 1
Direct
0.0000 0.0000 0.5944 Rh
0.0000 0.0000 0.4056 Rh
0.0000 0.0000 0.7852 Rh
0.0000 0.0000 0.2148 Rh
0.5000 0.5000 0.5000 Tm
0.5000 0.5000 0.1260 Tm
0.5000 0.5000 0.6884 Tm
0.5000 0.5000 0.3116 Tm
0.5000 0.5000 0.8740 Tm
0.0000 0.0000 0.0000 Mg
```

***

## Li2Zn2Cu5Ni (PBE)

Data for Li2Zn2Cu5Ni after structural relaxation.

Density of states at the Fermi level in states/eV per atom: 0.485
SG: P4/mbm (127)
Total moment in Bohr magnetons per cell: 0.000
DFT total energy in eV per cell: -64.90

Structure (POSCAR):
```
Li2Zn2Cu5Ni
1.0
-2.7544 0.7418 -2.5914
-5.6367 0.4111 6.1089
1.4522 8.1564 0.7911
Cu Zn Ni Li
10 4 2 4
Direct
0.5000 0.0790 0.8069 Cu
0.5000 0.1931 0.0790 Cu
0.5000 0.5000 0.0000 Cu
0.5000 0.5790 0.6931 Cu
0.5000 0.8069 0.9210 Cu
0.5000 0.0000 0.5000 Cu
0.5000 0.3069 0.5790 Cu
0.5000 0.6931 0.4210 Cu
0.5000 0.4210 0.3069 Cu
0.5000 0.9210 0.1931 Cu
0.0000 0.1275 0.6275 Zn
0.0000 0.6275 0.8725 Zn
0.0000 0.8725 0.3725 Zn
0.0000 0.3725 0.1275 Zn
0.0000 0.0000 0.0000 Ni
0.0000 0.5000 0.5000 Ni
0.0000 0.1709 0.3291 Li
0.0000 0.8291 0.6709 Li
0.0000 0.6709 0.1709 Li
0.0000 0.3291 0.8291 Li
```

***

## AcTl3Pd2 (PBE)

Data for AcTl3Pd2 after structural relaxation.

Density of states at the Fermi level in states/eV per atom: 0.500
SG: C2/m (12)
Total moment in Bohr magnetons per cell: 0.000
DFT total energy in eV per cell: -70.92

Structure (POSCAR):
```
AcTl3Pd2
1.0
-1.9161 -3.5463 -1.6329
4.6424 3.6986 -7.6882
7.7164 -6.7474 5.5992
Tl Pd Ac
9 6 3
Direct
0.9630 0.9260 0.6653 Tl
0.3253 0.6507 0.0361 Tl
0.2153 0.4306 0.3920 Tl
0.5000 0.0000 0.5000 Tl
0.3752 0.7504 0.7993 Tl
0.6747 0.3493 0.9639 Tl
0.6248 0.2496 0.2007 Tl
0.7847 0.5694 0.6080 Tl
0.0370 0.0740 0.3347 Tl
0.5306 0.0612 0.8150 Pd
0.4694 0.9388 0.1850 Pd
0.7895 0.5789 0.8563 Pd
0.3616 0.7231 0.5298 Pd
0.2105 0.4211 0.1437 Pd
0.6384 0.2769 0.4702 Pd
0.1596 0.3193 0.7041 Ac
0.8404 0.6807 0.2959 Ac
0.0000 0.0000 0.0000 Ac
```

***

## Cd3HF (PBE)

Data for Cd3HF after structural relaxation.

Density of states at the Fermi level in states/eV per atom: 0.294
SG: Pm-3m (221)
Total moment in Bohr magnetons per cell: 0.000
Polymorph energy (0 for the lowest one) in kJ/mol of atoms: 0.0
DFT total energy in eV per cell: -8.67

Structure (POSCAR):
```
Cd3HF
1.0
4.4903 0.0000 0.0000
0.0000 4.4903 0.0000
0.0000 0.0000 4.4903
F H Cd
1 1 3
Direct
0.5000 0.5000 0.5000 F
0.0000 0.0000 0.0000 H
0.5000 0.0000 0.0000 Cd
0.0000 0.5000 0.0000 Cd
0.0000 0.0000 0.5000 Cd
```

***

## CeGaCuPt (PBE)

Data for CeGaCuPt after structural relaxation.

Density of states at the Fermi level in states/eV per atom: 1.282
SG: F-43m (216)
Total moment in Bohr magnetons per cell: 0.002
DFT total energy in eV per cell: -21.27

Structure (POSCAR):
```
CeGaCuPt
1.0
-0.6583 3.1167 3.4897
-1.8782 -1.4069 4.1010
2.6846 -0.1993 3.8831
Cu Pt Ga Ce
1 1 1 1
Direct
0.2500 0.2500 0.2500 Cu
0.7500 0.7500 0.7500 Pt
0.5000 0.5000 0.5000 Ga
0.0000 0.0000 0.0000 Ce
```

***

## Pu2ThOsC4 (PBE)

Data for Pu2ThOsC4 after structural relaxation.

Density of states at the Fermi level in states/eV per atom: 1.824
SG: Cmcm (63)
Total moment in Bohr magnetons per cell: 16.696
DFT total energy in eV per cell: -167.74

Structure (POSCAR):
```
Pu2ThOsC4
1.0
3.5521 0.0000 0.0000
-1.7761 5.8754 0.0000
0.0000 0.0000 11.9632
Pu C Os Th
4 8 2 2
Direct
0.6311 0.2622 0.0419 Pu
0.6311 0.2622 0.4581 Pu
0.3689 0.7378 0.5419 Pu
0.3689 0.7378 0.9581 Pu
0.4355 0.8711 0.7500 C
0.5645 0.1289 0.2500 C
0.7396 0.4792 0.8750 C
0.2604 0.5208 0.3750 C
0.0000 0.0000 0.0000 C
0.7396 0.4792 0.6250 C
0.2604 0.5208 0.1250 C
0.0000 0.0000 0.5000 C
0.8467 0.6933 0.7500 Os
0.1533 0.3067 0.2500 Os
0.8943 0.7885 0.2500 Th
0.1057 0.2115 0.7500 Th
```

***

## Sm2Si2BRu2 (PBE)

Data for Sm2Si2BRu2 after structural relaxation.

Density of states at the Fermi level in states/eV per atom: 0.401
SG: C2/m (12)
Total moment in Bohr magnetons per cell: 0.000
E_form (uncorrected) in eV/atom: -0.79
DFT total energy in eV per cell: -51.05

Structure (POSCAR):
```
Sm2Si2BRu2
1.0
4.2050 0.0000 0.0000
2.1025 5.5605 -0.5545
2.1025 1.5250 5.2679
Ru Si B Sm
2 2 1 2
Direct
0.7885 0.3182 0.1047 Ru
0.2115 0.6818 0.8953 Ru
0.1595 0.3974 0.2836 Si
0.8405 0.6026 0.7164 Si
0.0000 0.0000 0.0000 B
0.4354 0.8264 0.3029 Sm
0.5646 0.1736 0.6971 Sm
```

***

## KRhPbBr6 (PBE)

Data for KRhPbBr6 after structural relaxation.

SG: P-31c (163)
Total moment in Bohr magnetons per cell: 0.000
E_form (uncorrected) in eV/atom: -0.84
DFT total energy in eV per cell: -59.57

Structure (POSCAR):
```
KRhPbBr6
1.0
-5.5189 3.9938 2.9303
-0.3940 -7.4053 -0.0329
6.1117 -0.3785 12.0264
Br K Pb Rh
12 2 2 2
Direct
0.6029 0.9456 0.8607 Br
0.3426 0.3971 0.8607 Br
0.0544 0.3971 0.6393 Br
0.9456 0.3426 0.1393 Br
0.6574 0.6029 0.1393 Br
0.9456 0.6029 0.3607 Br
0.3426 0.9456 0.6393 Br
0.6574 0.0544 0.3607 Br
0.3971 0.3426 0.3607 Br
0.0544 0.6574 0.8607 Br
0.6029 0.6574 0.6393 Br
0.3971 0.0544 0.1393 Br
0.0000 0.0000 0.0000 K
0.0000 0.0000 0.5000 K
0.6667 0.3333 0.7500 Pb
0.3333 0.6667 0.2500 Pb
0.6667 0.3333 0.2500 Rh
0.3333 0.6667 0.7500 Rh
```

***

## Mo2AsPt (PBE)

Data for Mo2AsPt after structural relaxation.

Density of states at the Fermi level in states/eV per atom: 0.911
SG: P4/mmm (123)
Total moment in Bohr magnetons per cell: 0.000
DFT total energy in eV per cell: -32.74

Structure (POSCAR):
```
Mo2AsPt
1.0
-0.3748 1.7243 -2.4283
1.2623 -2.1248 -1.7037
-6.1466 -2.8115 -1.0477
Mo As Pt
2 1 1
Direct
0.0000 0.0000 0.9787 Mo
0.0000 0.0000 0.5213 Mo
0.5000 0.5000 0.7500 As
0.5000 0.5000 0.2500 Pt
```

***

## TePN2F (PBE)

Data for TePN2F after structural relaxation.

Density of states at the Fermi level in states/eV per atom: 0.565
SG: P4/mmm (123)
Total moment in Bohr magnetons per cell: 0.000
E_form (uncorrected) in eV/atom: 1.22
Polymorph energy (0 for the lowest one) in kJ/mol of atoms: 70.6
DFT total energy in eV per cell: -20.98

Structure (POSCAR):
```
TePN2F
1.0
-2.7008 -0.5051 -3.1350
3.1745 -0.5257 -2.6502
-0.0734 -4.0568 0.7168
Te P N F
1 1 2 1
Direct
0.0000 0.0000 0.0000 Te
0.5000 0.5000 0.5000 P
0.5000 0.0000 0.0000 N
0.0000 0.5000 0.0000 N
0.0000 0.0000 0.5000 F
```

***

## Pr6GeIr2Cl3 (PBE)

Data for Pr6GeIr2Cl3 after structural relaxation.

Density of states at the Fermi level in states/eV per atom: 0.700
SG: C2/m (12)
Total moment in Bohr magnetons per cell: 0.000
E_form (uncorrected) in eV/atom: -1.17
DFT total energy in eV per cell: -70.56

Structure (POSCAR):
```
Pr6GeIr2Cl3
1.0
7.3308 0.0009 -0.0010
-3.6628 6.3501 -0.0010
-1.2243 -2.1199 7.4198
Ir Pr Cl Ge
2 6 3 1
Direct
0.3330 0.6670 0.0000 Ir
0.6670 0.3330 0.0000 Ir
0.5825 0.9299 0.7889 Pr
0.4175 0.0701 0.2111 Pr
0.9299 0.5825 0.7889 Pr
0.0701 0.4175 0.2111 Pr
0.2774 0.2774 0.7891 Pr
0.7226 0.7226 0.2109 Pr
0.8390 0.1610 0.5000 Cl
0.1610 0.8390 0.5000 Cl
0.5000 0.5000 0.5000 Cl
0.0000 0.0000 0.0000 Ge
```